MnV4O12: optimized geometry, PBE with a Hubbard U.

Cell: 4.9380 5.3206 7.4457 Å, 83.73 88.98 89.10°
Closest atoms and distances in Å follow each position.
Sites, in units of the cell vectors:
Mn  0.0000  0.0000  0.0000  6 O 1.86-2.00
V  0.0145  0.6014  0.7801  3 O 1.70-1.87
V  0.4730  0.1059  0.2863  2 O 1.66-1.78
V  0.5174  0.1308  0.7737  1 O 1.64
V  0.9793  0.5939  0.3076  2 O 1.67-1.71
O  0.1106  0.6679  0.0667  1 Mn 1.86, 1 V 1.90
O  0.1982  0.3447  0.3601  1 V 1.71
O  0.1984  0.9516  0.7778  1 V 1.85, 1 Mn 1.95
O  0.3142  0.8466  0.3709  1 V 1.66
O  0.3213  0.4499  0.7544  1 V 1.72
O  0.3381  0.1422  0.0641  1 V 1.78, 1 Mn 1.93
O  0.6085  0.1271  0.5605  1 V 1.64
O  0.6941  0.4466  0.2663  1 V 1.67
O  0.7196  0.8512  0.8768  1 V 1.88, 1 Mn 1.90
O  0.8121  0.9657  0.2277  1 V 1.89, 1 Mn 1.91
O  0.8273  0.3137  0.8765  2 V 1.87-2.03, 1 Mn 2.00
O  0.8950  0.6458  0.5668  1 V 1.70

Results
M_tot = 2.965 μB per formula unit
ΔE to the lowest computed polymorph = 0.011 eV per atom
Raw total energy = -124.65 eV/cell
Symmetry = P1, No. 1